[1]
VASP calculation (PBE) on a geometry-optimized Rb2NaCa2 structure.

Results
V (Å³/f.u.): 318
ΔH_f (0 K) (eV per atom): 0.33
Symmetry: P4/mbm (127)
ΔE to the lowest computed polymorph (meV per atom): 73
DOS(E_F) (states/eV/f.u.): 5.49
Crystal system: tetragonal

a = 12.473 Å, b = 12.473 Å, c = 4.083 Å
α = 90.00°, β = 90.00°, γ = 90.00°
Fractional positions:
Rb 0.187 0.313 0.000
Rb 0.313 0.813 0.000
Rb 0.687 0.187 0.000
Rb 0.813 0.687 0.000
Na 0.000 0.000 0.000
Na 0.500 0.500 0.000
Ca 0.105 0.605 0.500
Ca 0.395 0.105 0.500
Ca 0.605 0.895 0.500
Ca 0.895 0.395 0.500

***

[2]
VASP calculation (PBE) on a geometry-optimized Rb2NaCaRh structure.

Results
V (Å³/f.u.): 229
ΔH_f (0 K) (eV per atom): 0.62
Symmetry: P4/mmm (123)
DOS(E_F) (states/eV/f.u.): 1.48
Crystal system: tetragonal

a = 6.292 Å, b = 6.292 Å, c = 5.785 Å
α = 90.00°, β = 90.00°, γ = 90.00°
Fractional positions:
Rb 0.000 0.500 0.000
Rb 0.500 0.000 0.000
Na 0.000 0.000 0.500
Ca 0.500 0.500 0.500
Rh 0.000 0.000 0.000

***

[3]
VASP calculation (PBE) on a geometry-optimized Rb2NaCaSc structure.

Results
V (Å³/f.u.): 364
ΔH_f (0 K) (eV per atom): 1.01
Symmetry: P4/mmm (123)
DOS(E_F) (states/eV/f.u.): 16.07
Crystal system: tetragonal

a = 7.485 Å, b = 7.485 Å, c = 6.490 Å
α = 90.00°, β = 90.00°, γ = 90.00°
Fractional positions:
Rb 0.000 0.500 0.000
Rb 0.500 0.000 0.000
Na 0.000 0.000 0.500
Ca 0.000 0.000 0.000
Sc 0.500 0.500 0.500

***

[4]
VASP calculation (PBE) on a geometry-optimized RbNa2CaSn structure.

Results
V (Å³/f.u.): 234
ΔH_f (0 K) (eV per atom): -0.08
Symmetry: P4/mmm (123)
DOS(E_F) (states/eV/f.u.): 3.56
Crystal system: tetragonal

a = 6.182 Å, b = 6.182 Å, c = 6.129 Å
α = 90.00°, β = 90.00°, γ = 90.00°
Fractional positions:
Rb 0.000 0.000 0.000
Na 0.000 0.500 0.500
Na 0.500 0.000 0.500
Ca 0.500 0.500 0.000
Sn 0.500 0.500 0.500

***

[5]
VASP calculation (PBE) on a geometry-optimized Rb2NaCaTl structure.

Results
V (Å³/f.u.): 341
ΔH_f (0 K) (eV per atom): 0.33
Symmetry: P4/mmm (123)
ΔE to the lowest computed polymorph (meV per atom): 0
DOS(E_F) (states/eV/f.u.): 5.66
Crystal system: tetragonal

a = 7.552 Å, b = 7.552 Å, c = 5.971 Å
α = 90.00°, β = 90.00°, γ = 90.00°
Fractional positions:
Rb 0.000 0.500 0.000
Rb 0.500 0.000 0.000
Na 0.000 0.000 0.500
Ca 0.500 0.500 0.000
Tl 0.500 0.500 0.500

***

[6]
VASP calculation (PBE) on a geometry-optimized Rb2NaCaTl structure.

Results
V (Å³/f.u.): 378
ΔH_f (0 K) (eV per atom): 0.54
Symmetry: P4/mmm (123)
ΔE to the lowest computed polymorph (meV per atom): 210
DOS(E_F) (states/eV/f.u.): 5.80
Crystal system: tetragonal

a = 7.617 Å, b = 7.617 Å, c = 6.518 Å
α = 90.00°, β = 90.00°, γ = 90.00°
Fractional positions:
Rb 0.000 0.500 0.000
Rb 0.500 0.000 0.000
Na 0.000 0.000 0.500
Ca 0.000 0.000 0.000
Tl 0.500 0.500 0.500

***

[7]
VASP calculation (PBE) on a geometry-optimized RbNa2CaW structure.

Results
V (Å³/f.u.): 250
ΔH_f (0 K) (eV per atom): 1.46
Symmetry: P4/mmm (123)
DOS(E_F) (states/eV/f.u.): 4.53
Crystal system: tetragonal

a = 6.131 Å, b = 6.131 Å, c = 6.650 Å
α = 90.00°, β = 90.00°, γ = 90.00°
Fractional positions:
Rb 0.000 0.000 0.000
Na 0.000 0.500 0.500
Na 0.500 0.000 0.500
Ca 0.500 0.500 0.000
W 0.000 0.000 0.500

***

[8]
VASP calculation (PBE) on a geometry-optimized RbNa2CaY structure.

Results
V (Å³/f.u.): 263
ΔH_f (0 K) (eV per atom): 0.92
Symmetry: P4/mmm (123)
DOS(E_F) (states/eV/f.u.): 7.74
Crystal system: tetragonal

a = 6.232 Å, b = 6.232 Å, c = 6.760 Å
α = 90.00°, β = 90.00°, γ = 90.00°
Fractional positions:
Rb 0.000 0.000 0.000
Na 0.000 0.500 0.500
Na 0.500 0.000 0.500
Ca 0.000 0.000 0.500
Y 0.500 0.500 0.000

***

[9]
VASP calculation (PBE) on a geometry-optimized NaCa3Re structure.

Results
V (Å³/f.u.): 179
ΔH_f (0 K) (eV per atom): 0.61
Symmetry: Pm-3m (221)
ΔE to the lowest computed polymorph (meV per atom): 0
DOS(E_F) (states/eV/f.u.): 0.84
Crystal system: cubic

a = 5.633 Å, b = 5.633 Å, c = 5.633 Å
α = 90.00°, β = 90.00°, γ = 90.00°
Fractional positions:
Na 0.000 0.000 0.000
Ca 0.000 0.500 0.500
Ca 0.500 0.000 0.500
Ca 0.500 0.500 0.000
Re 0.500 0.500 0.500

***

[10]
VASP calculation (PBE) on a geometry-optimized NaCa2Re structure.

Results
V (Å³/f.u.): 195
ΔH_f (0 K) (eV per atom): 1.51
Symmetry: I-42d (122)
ΔE to the lowest computed polymorph (meV per atom): 723
DOS(E_F) (states/eV/f.u.): 5.62
Crystal system: tetragonal

a = 8.213 Å, b = 8.213 Å, c = 8.213 Å
α = 120.14°, β = 120.14°, γ = 89.76°
Fractional positions:
Na 0.000 0.000 0.000
Na 0.750 0.250 0.500
Ca 0.374 0.625 0.249
Ca 0.375 0.624 0.749
Ca 0.376 0.125 0.751
Ca 0.875 0.626 0.251
Re 0.250 0.750 0.500
Re 0.500 0.500 0.000

***

[11]
VASP calculation (PBE) on a geometry-optimized NaCa3Re structure.

Results
V (Å³/f.u.): 156
ΔH_f (0 K) (eV per atom): 1.59
Symmetry: Pm-3m (221)
ΔE to the lowest computed polymorph (meV per atom): 987
DOS(E_F) (states/eV/f.u.): 2.59
Crystal system: cubic

a = 5.386 Å, b = 5.386 Å, c = 5.386 Å
α = 90.00°, β = 90.00°, γ = 90.00°
Fractional positions:
Na 0.000 0.000 0.000
Ca 0.000 0.000 0.500
Ca 0.000 0.500 0.000
Ca 0.500 0.000 0.000
Re 0.500 0.500 0.500

***

[12]
VASP calculation (PBE) on a geometry-optimized Na2CaRe structure.

Results
V (Å³/f.u.): 109
ΔH_f (0 K) (eV per atom): 1.17
Symmetry: I-42d (122)
DOS(E_F) (states/eV/f.u.): 4.39
Crystal system: tetragonal

a = 12.192 Å, b = 12.192 Å, c = 12.192 Å
α = 159.73°, β = 159.73°, γ = 28.82°
Fractional positions:
Na 0.103 0.625 0.978
Na 0.375 0.353 0.478
Na 0.647 0.125 0.022
Na 0.875 0.897 0.522
Ca 0.250 0.750 0.500
Ca 0.500 0.500 0.000
Re 0.000 0.000 0.000
Re 0.750 0.250 0.500

***

[13]
VASP calculation (PBE) on a geometry-optimized Na2CaRe structure.

Results
V (Å³/f.u.): 100
ΔH_f (0 K) (eV per atom): 1.17
Symmetry: Fm-3m (225)
DOS(E_F) (states/eV/f.u.): 3.93
Crystal system: cubic

a = 5.212 Å, b = 5.212 Å, c = 5.212 Å
α = 60.00°, β = 60.00°, γ = 60.00°
Fractional positions:
Na 0.250 0.250 0.250
Na 0.750 0.750 0.750
Ca 0.000 0.000 0.000
Re 0.500 0.500 0.500

***

[14]
VASP calculation (PBE) on a geometry-optimized NaCa2Re structure.

Results
V (Å³/f.u.): 103
ΔH_f (0 K) (eV per atom): 0.79
Symmetry: Fm-3m (225)
ΔE to the lowest computed polymorph (meV per atom): 0
DOS(E_F) (states/eV/f.u.): 3.36
Crystal system: cubic

a = 5.270 Å, b = 5.270 Å, c = 5.270 Å
α = 60.00°, β = 60.00°, γ = 60.00°
Fractional positions:
Na 0.000 0.000 0.000
Ca 0.250 0.250 0.250
Ca 0.750 0.750 0.750
Re 0.500 0.500 0.500

***

[15]
VASP calculation (PBE) on a geometry-optimized NaCa2ReS structure.

Results
V (Å³/f.u.): 145
Symmetry: P4/mmm (123)
DOS(E_F) (states/eV/f.u.): 5.33
E_form (uncorrected) (eV per atom): 1.061
Crystal system: tetragonal

a = 5.666 Å, b = 5.666 Å, c = 4.509 Å
α = 90.00°, β = 90.00°, γ = 90.00°
Fractional positions:
Na 0.000 0.000 0.000
Ca 0.000 0.500 0.000
Ca 0.500 0.000 0.000
Re 0.500 0.500 0.500
S 0.000 0.000 0.500

***

[16]
VASP calculation (PBE) on a geometry-optimized NaCaRh3 structure.

Results
V (Å³/f.u.): 100
ΔH_f (0 K) (eV per atom): 1.02
Symmetry: Pm-3m (221)
ΔE to the lowest computed polymorph (meV per atom): 0
DOS(E_F) (states/eV/f.u.): 6.14
Crystal system: cubic

a = 4.647 Å, b = 4.647 Å, c = 4.647 Å
α = 90.00°, β = 90.00°, γ = 90.00°
Fractional positions:
Na 0.000 0.000 0.000
Ca 0.500 0.500 0.500
Rh 0.000 0.000 0.500
Rh 0.000 0.500 0.000
Rh 0.500 0.000 0.000

***

[17]
VASP calculation (PBE) on a geometry-optimized NaCaRh2 structure.

Results
V (Å³/f.u.): 80
ΔH_f (0 K) (eV per atom): 0.40
Symmetry: I-42d (122)
DOS(E_F) (states/eV/f.u.): 4.36
Crystal system: tetragonal

a = 6.095 Å, b = 6.095 Å, c = 6.095 Å
α = 100.86°, β = 100.86°, γ = 128.56°
Fractional positions:
Na 0.000 0.000 0.000
Na 0.750 0.250 0.500
Ca 0.250 0.750 0.500
Ca 0.500 0.500 0.000
Rh 0.120 0.625 0.995
Rh 0.375 0.370 0.495
Rh 0.630 0.125 0.005
Rh 0.875 0.880 0.505

***

[18]
VASP calculation (PBE) on a geometry-optimized Na2Ca2Rh structure.

Results
V (Å³/f.u.): 165
ΔH_f (0 K) (eV per atom): 0.08
Symmetry: P4/mbm (127)
DOS(E_F) (states/eV/f.u.): 2.68
Crystal system: tetragonal

a = 7.347 Å, b = 7.347 Å, c = 6.111 Å
α = 90.00°, β = 90.00°, γ = 90.00°
Fractional positions:
Na 0.173 0.327 0.000
Na 0.327 0.827 0.000
Na 0.673 0.173 0.000
Na 0.827 0.673 0.000
Ca 0.175 0.675 0.500
Ca 0.325 0.175 0.500
Ca 0.675 0.825 0.500
Ca 0.825 0.325 0.500
Rh 0.000 0.000 0.500
Rh 0.500 0.500 0.500

***

[19]
VASP calculation (PBE) on a geometry-optimized NaCa8Rh2 structure.

Results
V (Å³/f.u.): 381
ΔH_f (0 K) (eV per atom): -0.17
Symmetry: C2/m (12)
DOS(E_F) (states/eV/f.u.): 6.96
Crystal system: monoclinic

a = 8.988 Å, b = 8.988 Å, c = 6.590 Å
α = 97.94°, β = 97.94°, γ = 46.39°
Fractional positions:
Na 0.000 0.000 0.000
Ca 0.108 0.609 0.616
Ca 0.209 0.209 0.891
Ca 0.391 0.892 0.384
Ca 0.423 0.423 0.178
Ca 0.577 0.577 0.822
Ca 0.609 0.108 0.616
Ca 0.791 0.791 0.109
Ca 0.892 0.391 0.384
Rh 0.273 0.273 0.316
Rh 0.727 0.727 0.684

***

[20]
VASP calculation (PBE) on a geometry-optimized Na2CaRh structure.

Results
V (Å³/f.u.): 92
ΔH_f (0 K) (eV per atom): 0.25
Symmetry: Fm-3m (225)
ΔE to the lowest computed polymorph (meV per atom): 60
DOS(E_F) (states/eV/f.u.): 2.95
Crystal system: cubic

a = 5.062 Å, b = 5.062 Å, c = 5.062 Å
α = 60.00°, β = 60.00°, γ = 60.00°
Fractional positions:
Na 0.250 0.250 0.250
Na 0.750 0.750 0.750
Ca 0.000 0.000 0.000
Rh 0.500 0.500 0.500